The following is a DFT calculation (GGA-PBE) of an optimized crystal structure of Er4NiSn.

Cell: 5.484 6.818 8.393 Å, 90.00 102.04 90.00°
Space group P2_1/m (No. 11)
Symmetry-distinct sites (fractional):
Er  0.130  0.250  0.056 x2
Er  0.215  0.750  0.362 x2
Er  0.336  0.508  0.773 x4
Ni  0.352  0.750  0.049 x2
Sn  0.222  0.250  0.429 x2

## Properties
Raw total energy = -5.097 eV per atom
ΔH_f (0 K) = -0.42 eV/atom
DOS(E_F) = 10.11 states/eV/cell
Total magnetic moment = 0.0 μB/f.u.
Distance to the lowest polymorph of the same formula = 0.0 meV per atom


The following is a DFT calculation (GGA-PBE) of an optimized crystal structure of Er2Ni15Sn2.

Cell: 8.4560 8.4560 12.4422 Å, 90.00 90.00 120.00°
Space group R-3m (No. 166, hexagonal axes)
Symmetry-distinct sites (fractional):
Er  0.0000  0.0000  0.1426 x6
Ni  0.0000  0.3067  0.5000 x18
Ni  0.0000  0.5000  0.0000 x9
Ni  0.0066  0.5033  0.6548 x18
Sn  0.0000  0.0000  0.3891 x6

## Properties
Raw total energy = -5.662 eV per atom
ΔH_f (0 K) = -0.20 eV/atom
DOS(E_F) = 76.79 states/eV/cell
Total magnetic moment = 3.7 μB/f.u.


The following is a DFT calculation (GGA-PBE) of an optimized crystal structure of Er3NiSn.

Cell: 4.609 6.612 8.382 Å, 90.00 90.00 90.00°
Space group Pmmn (No. 59, origin choice 2)
Symmetry-distinct sites (fractional):
Er  0.250  0.000  0.155 x4
Er  0.250  0.250  0.581 x2
Ni  0.250  0.250  0.899 x2
Sn  0.250  0.750  0.657 x2

## Properties
Raw total energy = -5.140 eV per atom
ΔH_f (0 K) = -0.45 eV/atom
DOS(E_F) = 6.74 states/eV/cell
Total magnetic moment = 0.0 μB/f.u.


The following is a DFT calculation (GGA-PBE) of an optimized crystal structure of Er2Ni4Sn3.

Cell: 5.896 15.991 6.936 Å, 90.00 90.00 90.00°
Space group Cmce (No. 64)
Symmetry-distinct sites (fractional):
Er  0.000  0.101  0.088 x8
Ni  0.000  0.162  0.488 x8
Ni  0.250  0.074  0.750 x8
Sn  0.000  0.000  0.500 x4
Sn  0.250  0.239  0.750 x8

## Properties
Raw total energy = -5.376 eV per atom
ΔH_f (0 K) = -0.46 eV/atom
DOS(E_F) = 22.07 states/eV/cell
Total magnetic moment = 0.0 μB/f.u.